## Th4BSeS2 (GGA-PBE)

Data for an optimized crystal structure of Th4BSeS2.

a b c (Å): 6.9880 4.0551 7.1968
angles (deg): 90.00 109.15 90.00
Space group P2/m (No. 10)
Asymmetric unit:
Th  0.2328  0.0000  0.2211 x2
Th  0.2493  0.5000  0.7732 x2
B  0.0000  0.5000  0.0000 x1
Se  0.0000  0.0000  0.5000 x1
S  0.5000  0.0000  0.0000 x1
S  0.5000  0.5000  0.5000 x1

Properties
DOS at the Fermi energy in states/eV/cell: 4.19
Formation energy from raw total energies in meV per atom: -1388
E in eV/cell: -59.20

## Rb2Zn2Ge (GGA-PBE)

Data for an optimized crystal structure of Rb2Zn2Ge.

a b c (Å): 7.1586 7.1586 5.8128
angles (deg): 90.00 90.00 90.00
Space group P4/mbm (No. 127)
Asymmetric unit:
Rb  0.1818  0.3182  0.0000 x4
Zn  0.1367  0.6367  0.5000 x4
Ge  0.0000  0.0000  0.5000 x2

Properties
DOS at the Fermi energy in states/eV/cell: 2.08
Energy of formation in eV/f.u.: 0.7
E in eV/cell: -16.81

## SmLuCoAg (GGA-PBE)

Data for an optimized crystal structure of SmLuCoAg.

a b c (Å): 6.9964 6.9964 6.9964
angles (deg): 90.00 90.00 90.00
Space group F-43m (No. 216)
Asymmetric unit:
Sm  0.0000  0.0000  0.0000 x4
Lu  0.0000  0.0000  0.5000 x4
Co  0.2500  0.2500  0.7500 x4
Ag  0.2500  0.2500  0.2500 x4

Properties
DOS at the Fermi energy in states/eV/cell: 11.99
Energy of formation in eV/f.u.: -0.6
E in eV/cell: -79.33

## LiLaZnSi (GGA-PBE)

Data for an optimized crystal structure of LiLaZnSi.

a b c (Å): 7.0055 7.0055 7.0055
angles (deg): 90.00 90.00 90.00
Space group F-43m (No. 216)
Asymmetric unit:
Li  0.0000  0.0000  0.0000 x4
La  0.0000  0.0000  0.5000 x4
Zn  0.2500  0.2500  0.7500 x4
Si  0.2500  0.2500  0.2500 x4

Properties
DOS at the Fermi energy in states/eV/cell: 9.02
Formation energy from raw total energies in meV per atom: -328
E in eV/cell: -59.39

The following magnetization values (in Bohr magnetons per cell) correspond, in order, to the records above: 0.0, 0.0, 1.8, 0.0.